[1]
# PBE CaCdCl2, optimized geometry
# **Polymorph energy (0 for the lowest one)**: 142 meV/atom
# **Formation energy without anion corrections**: -1.496 eV per atom
# **Crystal system**: orthorhombic
data_CaCdCl2
_chemical_formula_sum 'Ca2 Cd2 Cl4'
_symmetry_space_group_name_H-M 'I m m 2'
_symmetry_Int_Tables_number 44
_cell_length_a 3.657
_cell_length_b 3.965
_cell_length_c 19.140
_cell_angle_alpha 90.00
_cell_angle_beta 90.00
_cell_angle_gamma 90.00
loop_
_symmetry_equiv_pos_as_xyz
'x,y,z'
'-x,-y,z'
'-x,y,z'
'x,-y,z'
'x+1/2,y+1/2,z+1/2'
'-x+1/2,-y+1/2,z+1/2'
'-x+1/2,y+1/2,z+1/2'
'x+1/2,-y+1/2,z+1/2'
loop_
_atom_site_label
_atom_site_fract_x
_atom_site_fract_y
_atom_site_fract_z
Ca1 0.000 0.000 0.000
Cd1 0.000 0.500 0.259
Cl1 0.000 0.000 0.444
Cl2 0.000 0.500 0.598

[2]
# PBE HoAg3Pd7, optimized geometry
# **ΔE_f**: -0.5 eV per formula unit
# **Crystal system**: monoclinic
data_HoAg3Pd7
_chemical_formula_sum 'Ho2 Ag6 Pd14'
_symmetry_space_group_name_H-M 'C 1 2/m 1'
_symmetry_Int_Tables_number 12
_cell_length_a 9.349
_cell_length_b 9.296
_cell_length_c 5.157
_cell_angle_alpha 90.00
_cell_angle_beta 113.84
_cell_angle_gamma 90.00
loop_
_symmetry_equiv_pos_as_xyz
'x,y,z'
'-x,-y,-z'
'-x,y,-z'
'x,-y,z'
'x+1/2,y+1/2,z'
'-x+1/2,-y+1/2,-z'
'-x+1/2,y+1/2,-z'
'x+1/2,-y+1/2,z'
loop_
_atom_site_label
_atom_site_fract_x
_atom_site_fract_y
_atom_site_fract_z
Ho1 0.000 0.000 0.000
Ag1 0.000 0.292 0.500
Ag2 0.000 0.500 0.000
Pd1 0.000 0.000 0.500
Pd2 0.181 0.260 0.182
Pd3 0.217 0.500 0.543

[3]
# PBE La7Mg3, optimized geometry
# **ΔE_f**: 0.6 eV per formula unit
# **Crystal system**: hexagonal
data_La7Mg3
_chemical_formula_sum 'La14 Mg6'
_symmetry_space_group_name_H-M 'P 63 m c'
_symmetry_Int_Tables_number 186
_symmetry_space_group_name_Hall 'P 6c -2c'
_cell_length_a 10.6108
_cell_length_b 10.6108
_cell_length_c 7.0245
_cell_angle_alpha 90.00
_cell_angle_beta 90.00
_cell_angle_gamma 120.00
loop_
_atom_site_label
_atom_site_fract_x
_atom_site_fract_y
_atom_site_fract_z
La1 0.0589 0.5295 0.0000
La2 0.1211 0.2422 0.2324
La3 0.3333 0.6667 0.2900
Mg1 0.2202 0.4404 0.6752

[4]
# PBE Ga2ReBr, optimized geometry
# **Polymorph energy (0 for the lowest one)**: 0 meV/atom
# **Formation energy without anion corrections**: 0.797 eV per atom
# **Crystal system**: tetragonal
data_Ga2ReBr
_chemical_formula_sum 'Ga8 Re4 Br4'
_symmetry_space_group_name_H-M 'I -4 2 d'
_symmetry_Int_Tables_number 122
_symmetry_space_group_name_Hall 'I -4 2bw'
_cell_length_a 6.170
_cell_length_b 6.170
_cell_length_c 11.910
_cell_angle_alpha 90.00
_cell_angle_beta 90.00
_cell_angle_gamma 90.00
loop_
_atom_site_label
_atom_site_fract_x
_atom_site_fract_y
_atom_site_fract_z
Ga1 0.189 0.250 0.125
Re1 0.000 0.000 0.000
Br1 0.000 0.000 0.500

[5]
# PBE BaAlSn4, optimized geometry
# **Polymorph energy (0 for the lowest one)**: 0 meV/atom
# **ΔE_f**: -0.9 eV per formula unit
# **Crystal system**: orthorhombic
data_BaAlSn4
_chemical_formula_sum 'Ba4 Al4 Sn16'
_symmetry_space_group_name_H-M 'C m c m'
_symmetry_Int_Tables_number 63
_symmetry_space_group_name_Hall '-C 2c 2'
_cell_length_a 5.738
_cell_length_b 17.513
_cell_length_c 7.283
_cell_angle_alpha 90.00
_cell_angle_beta 90.00
_cell_angle_gamma 90.00
loop_
_atom_site_label
_atom_site_fract_x
_atom_site_fract_y
_atom_site_fract_z
Ba1 0.000 0.098 0.250
Al1 0.000 0.374 0.250
Sn1 0.000 0.103 0.750
Sn2 0.000 0.268 0.548
Sn3 0.000 0.500 0.000

[6]
# PBE NaNiCl6, optimized geometry
# **Polymorph energy (0 for the lowest one)**: 44 meV/atom
# **Formation energy without anion corrections**: -0.535 eV per atom
# **Crystal system**: triclinic
data_NaNiCl6
_chemical_formula_sum 'Na1 Ni1 Cl6'
_symmetry_space_group_name_H-M 'P -1'
_symmetry_Int_Tables_number 2
_cell_length_a 6.394
_cell_length_b 6.405
_cell_length_c 6.633
_cell_angle_alpha 90.22
_cell_angle_beta 118.73
_cell_angle_gamma 119.86
loop_
_symmetry_equiv_pos_as_xyz
'x,y,z'
'-x,-y,-z'
loop_
_atom_site_label
_atom_site_fract_x
_atom_site_fract_y
_atom_site_fract_z
Na1 0.000 0.000 0.000
Ni1 0.000 0.500 0.500
Cl1 0.160 0.478 0.273
Cl2 0.206 0.322 0.732
Cl3 0.407 0.885 0.732

[7]
# PBE PmDyP2, optimized geometry
# **Polymorph energy (0 for the lowest one)**: 0 meV/atom
# **ΔE_f**: -6.3 eV per formula unit
# **Crystal system**: trigonal
data_PmDyP2
_chemical_formula_sum 'Pm3 Dy3 P6'
_symmetry_space_group_name_H-M 'R -3 m'
_symmetry_Int_Tables_number 166
_symmetry_space_group_name_Hall '-R 3 2"'
_cell_length_a 4.0722
_cell_length_b 4.0722
_cell_length_c 19.9186
_cell_angle_alpha 90.00
_cell_angle_beta 90.00
_cell_angle_gamma 120.00
loop_
_atom_site_label
_atom_site_fract_x
_atom_site_fract_y
_atom_site_fract_z
Pm1 0.0000 0.0000 0.0000
Dy1 0.0000 0.0000 0.5000
P1 0.0000 0.0000 0.2475

[8]
# PBE MgB2TeO8, optimized geometry
# **Formation energy without anion corrections**: -1.402 eV per atom
# **Crystal system**: tetragonal
data_MgB2TeO8
_chemical_formula_sum 'Mg2 B4 Te2 O16'
_symmetry_space_group_name_H-M 'I -4 m 2'
_symmetry_Int_Tables_number 119
_symmetry_space_group_name_Hall 'I -4 -2'
_cell_length_a 6.366
_cell_length_b 6.366
_cell_length_c 5.488
_cell_angle_alpha 90.00
_cell_angle_beta 90.00
_cell_angle_gamma 90.00
loop_
_atom_site_label
_atom_site_fract_x
_atom_site_fract_y
_atom_site_fract_z
Mg1 0.000 0.000 0.000
B1 0.000 0.000 0.500
B2 0.000 0.500 0.750
Te1 0.000 0.500 0.250
O1 0.000 0.181 0.331
O2 0.000 0.325 0.926

Table of DOS at the Fermi energy (states/eV/f.u.), in record order: 0.1 7.0 13.8 3.6 3.6 7.2 0.4 7.4